# AsSN2F

Crystalline AsSN2F at its relaxed geometry (PBE, the Alexandria database).

a = 3.883 Å, b = 3.883 Å, c = 3.828 Å
α = 90.00°, β = 90.00°, γ = 90.00°
Sites, in units of the cell vectors:
As  0.000  0.000  0.000
S  0.500  0.500  0.500
N  0.000  0.500  0.000
N  0.500  0.000  0.000
F  0.000  0.000  0.500

Values from the calculation:
For the raw formation energy, the calculation gives 1097 meV/atom. The density of states at the Fermi level is 2.90 states/eV per cell.


# CuSi2Hg

Crystalline CuSi2Hg at its relaxed geometry (PBE, the Alexandria database).

a = 2.743 Å, b = 2.743 Å, c = 9.870 Å
α = 90.00°, β = 90.00°, γ = 92.57°
Sites, in units of the cell vectors:
Cu  0.000  0.000  0.000
Si  0.500  0.500  0.177
Si  0.500  0.500  0.823
Hg  0.000  0.000  0.500

Values from the calculation:
For the raw formation energy, the calculation gives 353 meV/atom. The density of states at the Fermi level is 1.42 states/eV per cell.


# Ce6Ir2CBr3

Crystalline Ce6Ir2CBr3 at its relaxed geometry (PBE, the Alexandria database).

a = 6.904 Å, b = 6.904 Å, c = 7.960 Å
α = 98.26°, β = 98.26°, γ = 119.99°
Sites, in units of the cell vectors:
Ce  0.064  0.370  0.190
Ce  0.242  0.242  0.808
Ce  0.370  0.064  0.190
Ce  0.630  0.936  0.810
Ce  0.758  0.758  0.192
Ce  0.936  0.630  0.810
Ir  0.334  0.666  0.000
Ir  0.666  0.334  0.000
C  0.000  0.000  0.000
Br  0.171  0.829  0.500
Br  0.500  0.500  0.500
Br  0.829  0.171  0.500

Values from the calculation:
For the raw formation energy, the calculation gives -941 meV/atom. The density of states at the Fermi level is 28.62 states/eV per cell.


# CuSeS

Crystalline CuSeS at its relaxed geometry (PBE, the Alexandria database).

a = 3.762 Å, b = 3.848 Å, c = 9.508 Å
α = 99.71°, β = 93.33°, γ = 90.49°
Sites, in units of the cell vectors:
Cu  0.000  0.000  0.000
Cu  0.500  0.500  0.001
Se  0.040  0.545  0.171
Se  0.962  0.454  0.833
S  0.253  0.371  0.448
S  0.671  0.641  0.533

Values from the calculation:
For the raw formation energy, the calculation gives 47 meV/atom. The density of states at the Fermi level is 2.11 states/eV per cell.


# AsHIrOsAu

Crystalline AsHIrOsAu at its relaxed geometry (PBE, the Alexandria database).

a = 5.862 Å, b = 5.862 Å, c = 4.670 Å
α = 92.05°, β = 92.05°, γ = 27.97°
Sites, in units of the cell vectors:
As  0.000  0.000  0.000
H  0.249  0.249  0.045
Ir  0.820  0.820  0.298
Os  0.347  0.347  0.769
Au  0.117  0.117  0.516

Values from the calculation:
For the uncorrected energy, the calculation gives -5.9770 eV/atom. The density of states at the Fermi level is 2.86 states/eV per cell.


# CrPRu

Crystalline CrPRu at its relaxed geometry (PBE, the Alexandria database).

a = 4.010 Å, b = 4.010 Å, c = 2.755 Å
α = 90.00°, β = 90.00°, γ = 120.00°
Sites, in units of the cell vectors:
Cr  0.000  0.000  0.000
P  0.333  0.667  0.500
Ru  0.667  0.333  0.500

Values from the calculation:
For the formation enthalpy at 0 K, the calculation gives -21.3 kJ per mole of atoms. The density of states at the Fermi level is 2.07 states/eV per cell.


# AsSCl3

Crystalline AsSCl3 at its relaxed geometry (PBE, the Alexandria database).

a = 4.933 Å, b = 4.933 Å, c = 4.933 Å
α = 90.00°, β = 90.00°, γ = 90.00°
Sites, in units of the cell vectors:
As  0.000  0.000  0.000
S  0.500  0.500  0.500
Cl  0.000  0.500  0.500
Cl  0.500  0.000  0.500
Cl  0.500  0.500  0.000

Values from the calculation:
For the raw formation energy, the calculation gives 553 meV/atom. The density of states at the Fermi level is 6.47 states/eV per cell.


# CaMnTc2

Crystalline CaMnTc2 at its relaxed geometry (PBE, the Alexandria database).

a = 3.099 Å, b = 3.099 Å, c = 7.157 Å
α = 90.00°, β = 90.00°, γ = 90.00°
Sites, in units of the cell vectors:
Ca  0.000  0.000  0.000
Mn  0.000  0.000  0.500
Tc  0.500  0.500  0.321
Tc  0.500  0.500  0.679

Values from the calculation:
For the formation enthalpy at 0 K, the calculation gives 39.7 kJ per mole of atoms. The density of states at the Fermi level is 3.74 states/eV per cell.


# RbCu2Ag2

Crystalline RbCu2Ag2 at its relaxed geometry (PBE, the Alexandria database).

a = 8.334 Å, b = 8.334 Å, c = 2.890 Å
α = 90.00°, β = 90.00°, γ = 90.00°
Sites, in units of the cell vectors:
Rb  0.000  0.000  0.000
Rb  0.500  0.500  0.000
Cu  0.167  0.333  0.500
Cu  0.333  0.833  0.500
Cu  0.667  0.167  0.500
Cu  0.833  0.667  0.500
Ag  0.123  0.623  0.000
Ag  0.377  0.123  0.000
Ag  0.623  0.877  0.000
Ag  0.877  0.377  0.000

Values from the calculation:
For the formation enthalpy at 0 K, the calculation gives 29.6 kJ per mole of atoms. The density of states at the Fermi level is 4.55 states/eV per cell.


# UTiTcRu

Crystalline UTiTcRu at its relaxed geometry (PBE, the Alexandria database).

a = 4.586 Å, b = 4.586 Å, c = 4.586 Å
α = 60.00°, β = 60.00°, γ = 60.00°
Sites, in units of the cell vectors:
U  0.000  0.000  0.000
Ti  0.500  0.500  0.500
Tc  0.750  0.750  0.750
Ru  0.250  0.250  0.250

Values from the calculation:
For the formation enthalpy at 0 K, the calculation gives -25.0 kJ per mole of atoms. The density of states at the Fermi level is 7.74 states/eV per cell.


# Cr2FeTe

Crystalline Cr2FeTe at its relaxed geometry (PBE, the Alexandria database).

a = 4.259 Å, b = 4.259 Å, c = 4.259 Å
α = 60.00°, β = 60.00°, γ = 60.00°
Sites, in units of the cell vectors:
Cr  0.250  0.250  0.250
Cr  0.750  0.750  0.750
Fe  0.000  0.000  0.000
Te  0.500  0.500  0.500

Values from the calculation:
For the raw formation energy, the calculation gives 437 meV/atom. The density of states at the Fermi level is 4.25 states/eV per cell.


# Li2MgIn2Au5

Crystalline Li2MgIn2Au5 at its relaxed geometry (PBE, the Alexandria database).

a = 9.513 Å, b = 9.513 Å, c = 4.035 Å
α = 90.00°, β = 90.00°, γ = 90.00°
Sites, in units of the cell vectors:
Li  0.123  0.377  0.000
Li  0.377  0.877  0.000
Li  0.623  0.123  0.000
Li  0.877  0.623  0.000
Mg  0.000  0.000  0.000
Mg  0.500  0.500  0.000
In  0.170  0.670  0.000
In  0.330  0.170  0.000
In  0.670  0.830  0.000
In  0.830  0.330  0.000
Au  0.000  0.500  0.500
Au  0.087  0.196  0.500
Au  0.196  0.913  0.500
Au  0.304  0.413  0.500
Au  0.413  0.696  0.500
Au  0.500  0.000  0.500
Au  0.587  0.304  0.500
Au  0.696  0.587  0.500
Au  0.804  0.087  0.500
Au  0.913  0.804  0.500

Values from the calculation:
For the formation enthalpy at 0 K, the calculation gives -34.7 kJ per mole of atoms. The density of states at the Fermi level is 4.81 states/eV per cell.


# Er2Mg5Cd4

Crystalline Er2Mg5Cd4 at its relaxed geometry (PBE, the Alexandria database).

a = 10.062 Å, b = 8.857 Å, c = 6.406 Å
α = 80.75°, β = 60.32°, γ = 38.93°
Sites, in units of the cell vectors:
Er  0.175  0.175  0.825
Er  0.825  0.825  0.175
Mg  0.000  0.000  0.500
Mg  0.250  0.250  0.250
Mg  0.500  0.500  0.000
Mg  0.500  0.500  0.500
Mg  0.750  0.750  0.750
Cd  0.232  0.491  0.509
Cd  0.491  0.232  0.768
Cd  0.509  0.768  0.232
Cd  0.768  0.509  0.491

Values from the calculation:
For the formation enthalpy at 0 K, the calculation gives 1.4 kJ per mole of atoms. The density of states at the Fermi level is 5.88 states/eV per cell.


# Ba2CuSb3Pt4

Crystalline Ba2CuSb3Pt4 at its relaxed geometry (PBE, the Alexandria database).

a = 4.730 Å, b = 4.730 Å, c = 10.592 Å
α = 90.00°, β = 90.00°, γ = 90.00°
Sites, in units of the cell vectors:
Ba  0.000  0.500  0.244
Ba  0.500  0.000  0.756
Cu  0.500  0.500  0.000
Sb  0.000  0.000  0.000
Sb  0.000  0.500  0.628
Sb  0.500  0.000  0.372
Pt  0.000  0.000  0.500
Pt  0.000  0.500  0.883
Pt  0.500  0.000  0.117
Pt  0.500  0.500  0.500

Values from the calculation:
For the raw formation energy, the calculation gives -720 meV/atom. The density of states at the Fermi level is 5.23 states/eV per cell.


# MgCoP

Crystalline MgCoP at its relaxed geometry (PBE, the Alexandria database).

a = 3.770 Å, b = 3.770 Å, c = 5.899 Å
α = 90.00°, β = 90.00°, γ = 90.00°
Sites, in units of the cell vectors:
Mg  0.250  0.250  0.166
Mg  0.750  0.750  0.834
Co  0.250  0.750  0.500
Co  0.750  0.250  0.500
P  0.250  0.250  0.717
P  0.750  0.750  0.283

Values from the calculation:
For the formation enthalpy at 0 K, the calculation gives -55.8 kJ per mole of atoms. The density of states at the Fermi level is 3.20 states/eV per cell.


# La2Co2Cl

Crystalline La2Co2Cl at its relaxed geometry (PBE, the Alexandria database).

a = 5.279 Å, b = 5.279 Å, c = 5.279 Å
α = 119.46°, β = 119.46°, γ = 90.94°
Sites, in units of the cell vectors:
La  0.250  0.750  0.500
La  0.750  0.250  0.500
Co  0.158  0.158  0.000
Co  0.842  0.842  0.000
Cl  0.500  0.500  0.000

Values from the calculation:
For the raw formation energy, the calculation gives -270 meV/atom. The density of states at the Fermi level is 2.61 states/eV per cell.


# CaTaGaCu2

Crystalline CaTaGaCu2 at its relaxed geometry (PBE, the Alexandria database).

a = 4.649 Å, b = 4.649 Å, c = 5.288 Å
α = 90.00°, β = 90.00°, γ = 90.00°
Sites, in units of the cell vectors:
Ca  0.000  0.000  0.000
Ta  0.000  0.000  0.500
Ga  0.500  0.500  0.500
Cu  0.000  0.500  0.000
Cu  0.500  0.000  0.000

Values from the calculation:
For the formation enthalpy at 0 K, the calculation gives 172.9 kJ per mole of atoms. The density of states at the Fermi level is 3.05 states/eV per cell.


# Pm4Nd3Si4

Crystalline Pm4Nd3Si4 at its relaxed geometry (PBE, the Alexandria database).

a = 9.848 Å, b = 9.848 Å, c = 9.848 Å
α = 156.72°, β = 127.60°, γ = 58.08°
Sites, in units of the cell vectors:
Pm  0.007  0.828  0.178
Pm  0.350  0.172  0.178
Pm  0.650  0.828  0.822
Pm  0.993  0.172  0.822
Nd  0.000  0.500  0.500
Nd  0.404  0.404  0.000
Nd  0.596  0.596  0.000
Si  0.272  0.772  0.500
Si  0.274  0.000  0.274
Si  0.726  0.000  0.726
Si  0.728  0.228  0.500

Values from the calculation:
For the raw formation energy, the calculation gives -496 meV/atom. The density of states at the Fermi level is 10.74 states/eV per cell.


# Al2PbAu

Crystalline Al2PbAu at its relaxed geometry (PBE, the Alexandria database).

a = 3.967 Å, b = 4.406 Å, c = 5.246 Å
α = 90.00°, β = 107.05°, γ = 90.00°
Sites, in units of the cell vectors:
Al  0.000  0.000  0.000
Al  0.403  0.500  0.849
Pb  0.667  0.000  0.457
Au  0.093  0.500  0.268

Values from the calculation:
For the formation enthalpy at 0 K, the calculation gives 3.4 kJ per mole of atoms. The density of states at the Fermi level is 0.73 states/eV per cell.


# Pr2Al3GaPd4

Crystalline Pr2Al3GaPd4 at its relaxed geometry (PBE, the Alexandria database).

a = 4.404 Å, b = 4.404 Å, c = 10.097 Å
α = 90.00°, β = 90.00°, γ = 90.00°
Sites, in units of the cell vectors:
Pr  0.000  0.500  0.248
Pr  0.500  0.000  0.752
Al  0.000  0.000  0.000
Al  0.000  0.500  0.624
Al  0.500  0.000  0.376
Ga  0.500  0.500  0.000
Pd  0.000  0.000  0.500
Pd  0.000  0.500  0.870
Pd  0.500  0.000  0.130
Pd  0.500  0.500  0.500

Values from the calculation:
For the formation enthalpy at 0 K, the calculation gives -81.3 kJ per mole of atoms. The density of states at the Fermi level is 8.04 states/eV per cell.